[1]
Material: Ag5Br2F5
Method: DFT, GGA-PBE
State: optimized geometry

Output
Fermi-level density of states	0.73	states/eV per atom
energy relative to the elements, uncorrected	-10.199	eV/f.u.

Cell: 3.7717 6.1442 10.4478 Å, 104.34 95.34 90.78°
Closest atoms and distances in Å follow each position.
Fractional positions:
Ag 0.0000 0.0000 0.0000  2 F 2.27
Ag 0.2217 0.4297 0.8333  3 F 2.36-2.52
Ag 0.3035 0.2382 0.4308  3 F 2.15-2.27
Ag 0.6965 0.7618 0.5692  3 F 2.15-2.27
Ag 0.7783 0.5703 0.1667  3 F 2.36-2.52
Br 0.3176 0.9087 0.2185  4 Ag 2.61-2.81
Br 0.6824 0.0913 0.7815  4 Ag 2.61-2.81
F 0.0000 0.0000 0.5000  2 Ag 2.15
F 0.2538 0.3506 0.0779  3 Ag 2.27-2.38
F 0.3094 0.5244 0.6165  2 Ag 2.22-2.27
F 0.6906 0.4756 0.3835  2 Ag 2.22-2.27
F 0.7462 0.6494 0.9221  3 Ag 2.27-2.38


[2]
Material: Ag3Br2F2
Method: DFT, GGA-PBE
State: optimized geometry

Output
offset from the most stable computed form	13.1	meV/atom
Fermi-level density of states	0.68	states/eV per atom
energy relative to the elements, uncorrected	-4.796	eV/f.u.

Cell: 6.8651 7.6625 6.4119 Å, 90.00 115.19 90.00°
Closest atoms and distances in Å follow each position.
Fractional positions:
Ag 0.0000 0.0000 0.0000  2 F 2.21
Ag 0.0000 0.5000 0.5000  2 F 2.21
Ag 0.4727 0.1400 0.7566  2 F 2.32-2.50
Ag 0.4727 0.3600 0.2566  2 F 2.32-2.50
Ag 0.5273 0.6400 0.7434  2 F 2.32-2.50
Ag 0.5273 0.8600 0.2434  2 F 2.32-2.50
Br 0.2359 0.6177 0.9364  4 Ag 2.72-2.82
Br 0.2359 0.8823 0.4364  4 Ag 2.72-2.82
Br 0.7641 0.1177 0.5636  4 Ag 2.72-2.82
Br 0.7641 0.3823 0.0636  4 Ag 2.72-2.82
F 0.2891 0.1160 0.9863  2 Ag 2.21-2.32
F 0.2891 0.3840 0.4863  2 Ag 2.21-2.32
F 0.7109 0.6160 0.5137  2 Ag 2.21-2.32
F 0.7109 0.8840 0.0137  2 Ag 2.21-2.32


[3]
Material: Ag4Br5F
Method: DFT, GGA-PBE
State: optimized geometry

Output
Fermi-level density of states	0.83	states/eV per atom
energy relative to the elements, uncorrected	-3.686	eV/f.u.

Cell: 7.9562 11.1707 6.6933 Å, 90.00 90.00 90.00°
Closest atoms and distances in Å follow each position.
Fractional positions:
Ag 0.0126 0.2500 0.0158  1 F 2.21
Ag 0.2500 0.5126 0.5100  4 Br 2.66
Ag 0.2500 0.9874 0.5100  4 Br 2.66
Ag 0.4874 0.2500 0.0158  1 F 2.21
Ag 0.5126 0.7500 0.9842  1 F 2.21
Ag 0.7500 0.0126 0.4900  4 Br 2.66
Ag 0.7500 0.4874 0.4900  4 Br 2.66
Ag 0.9874 0.7500 0.9842  1 F 2.21
Br 0.0014 0.0790 0.7271  3 Ag 2.66-2.72
Br 0.0014 0.4210 0.7271  3 Ag 2.66-2.72
Br 0.2500 0.7500 0.7448  2 Ag 2.63
Br 0.4986 0.0790 0.7271  3 Ag 2.66-2.72
Br 0.4986 0.4210 0.7271  3 Ag 2.66-2.72
Br 0.5014 0.5790 0.2729  3 Ag 2.66-2.72
Br 0.5014 0.9210 0.2729  3 Ag 2.66-2.72
Br 0.7500 0.2500 0.2552  2 Ag 2.63
Br 0.9986 0.5790 0.2729  3 Ag 2.66-2.72
Br 0.9986 0.9210 0.2729  3 Ag 2.66-2.72
F 0.2500 0.2500 0.1866  2 Ag 2.21
F 0.7500 0.7500 0.8134  2 Ag 2.21


[4]
Material: Ag3BrF4
Method: DFT, GGA-PBE
State: optimized geometry

Output
Fermi-level density of states	0.66	states/eV per atom
energy relative to the elements, uncorrected	-7.640	eV/f.u.

Cell: 7.2620 7.2620 8.0224 Å, 106.61 106.61 48.82°
Closest atoms and distances in Å follow each position.
Fractional positions:
Ag 0.0000 0.0000 0.0000  2 F 2.13
Ag 0.0000 0.0000 0.5000  2 F 2.13
Ag 0.3080 0.3129 0.6156  3 F 2.16-2.24
Ag 0.3129 0.3080 0.1156  3 F 2.16-2.24
Ag 0.6871 0.6920 0.8844  3 F 2.16-2.24
Ag 0.6920 0.6871 0.3844  3 F 2.16-2.24
Br 0.3052 0.6948 0.7500  4 Ag 2.66-2.72
Br 0.6948 0.3052 0.2500  4 Ag 2.66-2.72
F 0.0148 0.2780 0.9855  2 Ag 2.13-2.24
F 0.1776 0.4477 0.3656  2 Ag 2.16-2.17
F 0.2780 0.0148 0.4855  2 Ag 2.13-2.24
F 0.4477 0.1776 0.8656  2 Ag 2.16-2.17
F 0.5523 0.8224 0.1344  2 Ag 2.16-2.17
F 0.7220 0.9852 0.5145  2 Ag 2.13-2.24
F 0.8224 0.5523 0.6344  2 Ag 2.16-2.17
F 0.9852 0.7220 0.0145  2 Ag 2.13-2.24


[5]
Material: Ag2BrF
Method: DFT, GGA-PBE
State: optimized geometry

Output
offset from the most stable computed form	129.7	meV/atom
Fermi-level density of states	0.07	states/eV per atom
energy relative to the elements, uncorrected	-2.059	eV/f.u.

Cell: 4.5747 4.5747 3.5044 Å, 90.00 90.00 90.00°
Closest atoms and distances in Å follow each position.
Fractional positions:
Ag 0.0000 0.5000 0.0000  4 F 2.88, 4 Br 2.88
Ag 0.5000 0.0000 0.0000  4 F 2.88, 4 Br 2.88
Br 0.0000 0.0000 0.5000  8 Ag 2.88
F 0.5000 0.5000 0.5000  8 Ag 2.88


[6]
Material: Ag5BrF5
Method: DFT, GGA-PBE
State: optimized geometry

Output
Fermi-level density of states	0.55	states/eV per atom
energy relative to the elements, uncorrected	-9.888	eV/f.u.

Cell: 6.3626 6.3626 7.4257 Å, 113.39 113.39 50.82°
Closest atoms and distances in Å follow each position.
Fractional positions:
Ag 0.0000 0.0000 0.0000  4 F 2.43-2.55
Ag 0.2499 0.2499 0.6442  2 F 2.22-2.29
Ag 0.3496 0.3496 0.1972  3 F 2.15-2.32
Ag 0.6504 0.6504 0.8028  3 F 2.15-2.32
Ag 0.7501 0.7501 0.3558  2 F 2.22-2.29
Br 0.5000 0.5000 0.0000  6 Ag 2.71-2.93
F 0.1816 0.1816 0.8915  2 Ag 2.24-2.29
F 0.1941 0.1941 0.3169  3 Ag 2.22-2.43
F 0.5000 0.5000 0.5000  2 Ag 2.15
F 0.8059 0.8059 0.6831  3 Ag 2.22-2.43
F 0.8184 0.8184 0.1085  2 Ag 2.24-2.29